No. 1
First-principles (PBE) data for an optimized crystal structure of Y4MgAg4O12, as listed in the Alexandria database.

Output
uncorrected formation energy	-1.81	eV/atom
VASP energy	-6.496	eV per atom

a b c (Å): 6.2271 7.0772 6.9855
angles (deg): 90.00 107.67 90.00
Atoms (fractional coordinates):
Y  0.0000  0.0000  0.0000
Y  0.0707  0.5000  0.2613
Y  0.4724  0.0000  0.5748
Y  0.6095  0.5000  0.6589
Mg  0.1858  0.5000  0.8372
Ag  0.0100  0.2049  0.5771
Ag  0.0100  0.7951  0.5771
Ag  0.5181  0.2474  0.1139
Ag  0.5181  0.7526  0.1139
O  0.1788  0.3007  0.0357
O  0.1788  0.6993  0.0357
O  0.2358  0.0000  0.7673
O  0.3149  0.3044  0.4990
O  0.3149  0.6956  0.4990
O  0.4398  0.0000  0.2369
O  0.5337  0.5000  0.9556
O  0.7591  0.1960  0.7363
O  0.7591  0.8040  0.7363
O  0.8569  0.2176  0.1963
O  0.8569  0.7824  0.1963
O  0.9226  0.5000  0.5544

***

No. 2
First-principles (PBE) data for an optimized crystal structure of MgZr2AgO, as listed in the Alexandria database.

Output
uncorrected formation energy	-0.96	eV/atom
VASP energy	-6.257	eV per atom

a b c (Å): 4.4539 4.4539 4.3644
angles (deg): 90.00 90.00 90.00
Atoms (fractional coordinates):
Mg  0.0000  0.0000  0.0000
Zr  0.0000  0.5000  0.5000
Zr  0.5000  0.0000  0.5000
Ag  0.5000  0.5000  0.0000
O  0.0000  0.0000  0.5000

***

No. 3
First-principles (PBE) data for an optimized crystal structure of MgAgOs2, as listed in the Alexandria database.

Output
VASP energy	-6.164	eV per atom

a b c (Å): 5.2453 5.2453 5.2453
angles (deg): 138.24 138.24 60.54
Atoms (fractional coordinates):
Mg  0.0000  0.0000  0.0000
Ag  0.5000  0.5000  0.0000
Os  0.2500  0.7500  0.5000
Os  0.7500  0.2500  0.5000